# 1
DFT (PBE) results for an optimized crystal structure of Y3HgO.

Output
total magnetization: 0.0000 μB/atom
energy: -6.18 eV/atom

a = 8.541 Å, b = 6.275 Å, c = 9.363 Å
α = 90.00°, β = 114.08°, γ = 90.00°
Fractional positions:
Y 0.062 0.083 0.355
Y 0.062 0.417 0.855
Y 0.191 0.578 0.546
Y 0.191 0.922 0.046
Y 0.355 0.123 0.768
Y 0.355 0.377 0.268
Y 0.645 0.623 0.732
Y 0.645 0.877 0.232
Y 0.809 0.078 0.954
Y 0.809 0.422 0.454
Y 0.938 0.583 0.145
Y 0.938 0.917 0.645
Hg 0.397 0.667 0.898
Hg 0.397 0.833 0.398
Hg 0.603 0.167 0.602
Hg 0.603 0.333 0.102
O 0.075 0.246 0.598
O 0.075 0.254 0.098
O 0.925 0.746 0.902
O 0.925 0.754 0.402

=====

# 2
DFT (PBE) results for an optimized crystal structure of BeAg.

Output
total magnetization: 0.0000 μB/atom
energy of formation: 0.44 eV/atom
energy: -2.85 eV/atom

a = 8.024 Å, b = 8.024 Å, c = 4.288 Å
α = 90.00°, β = 90.00°, γ = 90.00°
Fractional positions:
Be 0.073 0.368 0.000
Be 0.075 0.631 0.500
Be 0.368 0.927 0.000
Be 0.369 0.075 0.500
Be 0.631 0.925 0.500
Be 0.632 0.073 0.000
Be 0.925 0.369 0.500
Be 0.927 0.632 0.000
Ag 0.222 0.367 0.500
Ag 0.224 0.630 0.000
Ag 0.367 0.778 0.500
Ag 0.370 0.224 0.000
Ag 0.630 0.776 0.000
Ag 0.633 0.222 0.500
Ag 0.776 0.370 0.000
Ag 0.778 0.633 0.500

=====

# 3
DFT (PBE) results for an optimized crystal structure of Sm5CoSe4.

Output
total magnetization: 0.0002 μB/atom
energy: -5.92 eV/atom

a = 7.197 Å, b = 7.197 Å, c = 7.197 Å
α = 99.79°, β = 99.79°, γ = 131.31°
Fractional positions:
Sm 0.000 0.000 0.000
Sm 0.224 0.406 0.630
Sm 0.406 0.776 0.182
Sm 0.594 0.224 0.818
Sm 0.776 0.594 0.370
Co 0.500 0.500 0.000
Se 0.092 0.694 0.786
Se 0.306 0.092 0.398
Se 0.694 0.908 0.602
Se 0.908 0.306 0.214

=====

# 4
DFT (PBE) results for an optimized crystal structure of NiBi.

Output
total magnetization: 0.0000 μB/atom
energy of formation: 0.28 eV/atom
energy: -4.55 eV/atom

a = 3.579 Å, b = 3.579 Å, c = 7.375 Å
α = 90.00°, β = 90.00°, γ = 120.00°
Fractional positions:
Ni 0.333 0.667 0.250
Ni 0.667 0.333 0.750
Bi 0.000 0.000 0.000
Bi 0.000 0.000 0.500

=====

# 5
DFT (PBE) results for an optimized crystal structure of MnAgRh2.

Output
total magnetization: 0.9851 μB/atom
energy of formation: 0.19 eV/atom
energy: -6.50 eV/atom

a = 5.268 Å, b = 5.268 Å, c = 5.268 Å
α = 147.26°, β = 129.17°, γ = 61.79°
Fractional positions:
Mn 0.000 0.000 0.000
Ag 0.746 0.246 0.500
Rh 0.230 0.730 0.500
Rh 0.478 0.478 0.000

=====

# 6
DFT (PBE) results for an optimized crystal structure of HgBiTeI2.

Output
total magnetization: 0.0001 μB/atom
energy: -1.70 eV/atom

a = 5.728 Å, b = 5.728 Å, c = 5.827 Å
α = 90.00°, β = 90.00°, γ = 90.00°
Fractional positions:
Hg 0.000 0.000 0.000
Bi 0.500 0.500 0.500
Te 0.000 0.000 0.500
I 0.000 0.500 0.000
I 0.500 0.000 0.000

=====

# 7
DFT (PBE) results for an optimized crystal structure of Sc2ZnCr.

Output
total magnetization: 0.6934 μB/atom
energy of formation: 0.19 eV/atom
energy: -5.70 eV/atom

a = 9.004 Å, b = 9.004 Å, c = 9.004 Å
α = 20.36°, β = 20.36°, γ = 20.36°
Fractional positions:
Sc 0.248 0.248 0.248
Sc 0.752 0.752 0.752
Zn 0.000 0.000 0.000
Cr 0.500 0.500 0.500

=====

# 8
DFT (PBE) results for an optimized crystal structure of CsNa2InI6.

Output
total magnetization: 0.0000 μB/atom
energy: -2.52 eV/atom

a = 8.211 Å, b = 8.223 Å, c = 8.966 Å
α = 90.07°, β = 117.19°, γ = 119.88°
Fractional positions:
Cs 0.000 0.000 0.000
Na 0.570 0.286 0.854
Na 0.614 0.808 0.420
In 0.945 0.473 0.416
I 0.097 0.472 0.172
I 0.098 0.245 0.632
I 0.387 0.853 0.633
I 0.549 0.077 0.172
I 0.701 0.625 0.172
I 0.779 0.535 0.632

=====

# 9
DFT (PBE) results for an optimized crystal structure of KNaI2O.

Output
total magnetization: 0.4077 μB/atom
energy: -2.71 eV/atom

a = 6.219 Å, b = 6.219 Å, c = 4.543 Å
α = 90.00°, β = 90.00°, γ = 90.00°
Fractional positions:
K 0.000 0.000 0.000
Na 0.500 0.500 0.500
I 0.000 0.500 0.500
I 0.500 0.000 0.500
O 0.500 0.500 0.000

=====

# 10
DFT (PBE) results for an optimized crystal structure of LaNd2SmTm.

Output
total magnetization: 0.0000 μB/atom
energy of formation: 0.27 eV/atom
energy: -4.46 eV/atom

a = 8.594 Å, b = 6.543 Å, c = 6.332 Å
α = 90.00°, β = 96.07°, γ = 90.00°
Fractional positions:
La 0.000 0.000 0.000
La 0.000 0.000 0.500
Nd 0.314 0.311 0.216
Nd 0.314 0.689 0.716
Nd 0.686 0.311 0.284
Nd 0.686 0.689 0.784
Sm 0.000 0.440 0.750
Sm 0.000 0.560 0.250
Tm 0.500 0.166 0.750
Tm 0.500 0.834 0.250

=====

# 11
DFT (PBE) results for an optimized crystal structure of TbPrUN3.

Output
total magnetization: 0.2180 μB/atom
energy: -8.93 eV/atom

a = 6.032 Å, b = 3.519 Å, c = 9.150 Å
α = 90.00°, β = 102.22°, γ = 90.00°
Fractional positions:
Tb 0.142 0.250 0.140
Tb 0.858 0.750 0.860
Pr 0.349 0.250 0.812
Pr 0.651 0.750 0.188
U 0.236 0.750 0.458
U 0.764 0.250 0.542
N 0.036 0.750 0.634
N 0.246 0.750 0.996
N 0.455 0.250 0.362
N 0.545 0.750 0.638
N 0.754 0.250 0.004
N 0.964 0.250 0.366

=====

# 12
DFT (PBE) results for an optimized crystal structure of RbZnHg2F8.

Output
total magnetization: 0.0000 μB/atom
energy: -3.25 eV/atom

a = 5.098 Å, b = 5.330 Å, c = 7.717 Å
α = 84.90°, β = 88.51°, γ = 86.71°
Fractional positions:
Rb 0.000 0.000 0.000
Zn 0.000 0.000 0.500
Hg 0.476 0.487 0.269
Hg 0.524 0.513 0.731
F 0.160 0.792 0.324
F 0.165 0.783 0.697
F 0.316 0.260 0.483
F 0.423 0.282 0.954
F 0.577 0.718 0.046
F 0.684 0.740 0.517
F 0.835 0.217 0.303
F 0.840 0.208 0.676

=====

# 13
DFT (PBE) results for an optimized crystal structure of TiMn2Fe2.

Output
total magnetization: 0.0000 μB/atom
energy of formation: 0.05 eV/atom
energy: -8.58 eV/atom

a = 6.870 Å, b = 6.870 Å, c = 2.489 Å
α = 90.00°, β = 90.00°, γ = 90.00°
Fractional positions:
Ti 0.000 0.000 0.000
Ti 0.500 0.500 0.000
Mn 0.121 0.379 0.000
Mn 0.379 0.879 0.000
Mn 0.621 0.121 0.000
Mn 0.879 0.621 0.000
Fe 0.173 0.673 0.500
Fe 0.327 0.173 0.500
Fe 0.673 0.827 0.500
Fe 0.827 0.327 0.500

=====

# 14
DFT (PBE) results for an optimized crystal structure of SbPOs.

Output
total magnetization: 0.0000 μB/atom
energy: -6.77 eV/atom

a = 3.656 Å, b = 3.656 Å, c = 5.529 Å
α = 90.00°, β = 90.00°, γ = 120.00°
Fractional positions:
Sb 0.000 0.000 0.000
P 0.333 0.667 0.505
Os 0.667 0.333 0.654

=====

# 15
DFT (PBE) results for an optimized crystal structure of CaNd6Sm4.

Output
total magnetization: 0.0000 μB/atom
energy of formation: 0.31 eV/atom
energy: -4.19 eV/atom

a = 10.086 Å, b = 10.086 Å, c = 10.086 Å
α = 141.34°, β = 141.34°, γ = 55.82°
Fractional positions:
Ca 0.000 0.000 0.000
Nd 0.000 0.500 0.500
Nd 0.196 0.196 0.654
Nd 0.458 0.804 0.000
Nd 0.500 0.000 0.500
Nd 0.542 0.542 0.346
Nd 0.804 0.458 0.000
Sm 0.006 0.634 0.000
Sm 0.366 0.366 0.372
Sm 0.634 0.006 0.000
Sm 0.994 0.994 0.628

=====

# 16
DFT (PBE) results for an optimized crystal structure of TlSiTeCl2.

Output
total magnetization: 0.2040 μB/atom
energy: -3.04 eV/atom

a = 4.812 Å, b = 4.812 Å, c = 5.782 Å
α = 90.00°, β = 90.00°, γ = 90.00°
Fractional positions:
Tl 0.000 0.000 0.000
Si 0.000 0.000 0.500
Te 0.500 0.500 0.000
Cl 0.000 0.500 0.500
Cl 0.500 0.000 0.500

=====

# 17
DFT (PBE) results for an optimized crystal structure of Zr3RhN.

Output
total magnetization: 0.0000 μB/atom
energy: -9.20 eV/atom

a = 7.245 Å, b = 3.313 Å, c = 7.640 Å
α = 90.00°, β = 107.88°, γ = 90.00°
Fractional positions:
Zr 0.081 0.000 0.336
Zr 0.310 0.000 0.051
Zr 0.316 0.500 0.696
Zr 0.684 0.500 0.304
Zr 0.690 0.000 0.949
Zr 0.919 0.000 0.664
Rh 0.000 0.500 0.000
Rh 0.500 0.000 0.500
N 0.000 0.500 0.500
N 0.500 0.500 0.000

=====

# 18
DFT (PBE) results for an optimized crystal structure of TiGaPt4.

Output
total magnetization: 0.0000 μB/atom
energy of formation: -0.68 eV/atom
energy: -6.52 eV/atom

a = 5.452 Å, b = 3.961 Å, c = 18.237 Å
α = 90.00°, β = 90.00°, γ = 90.00°
Fractional positions:
Ti 0.166 0.250 0.055
Ti 0.334 0.750 0.555
Ti 0.666 0.250 0.445
Ti 0.834 0.750 0.945
Ga 0.224 0.250 0.767
Ga 0.276 0.750 0.267
Ga 0.724 0.250 0.733
Ga 0.776 0.750 0.233
Pt 0.089 0.250 0.198
Pt 0.099 0.250 0.627
Pt 0.100 0.250 0.899
Pt 0.149 0.250 0.471
Pt 0.351 0.750 0.971
Pt 0.400 0.750 0.399
Pt 0.401 0.750 0.127
Pt 0.411 0.750 0.698
Pt 0.589 0.250 0.302
Pt 0.599 0.250 0.873
Pt 0.600 0.250 0.601
Pt 0.649 0.250 0.029
Pt 0.851 0.750 0.529
Pt 0.900 0.750 0.101
Pt 0.901 0.750 0.373
Pt 0.911 0.750 0.802

=====

# 19
DFT (PBE) results for an optimized crystal structure of Pm4RuS2Cl.

Output
total magnetization: 0.0000 μB/atom
energy: -6.17 eV/atom

a = 7.189 Å, b = 3.950 Å, c = 7.192 Å
α = 90.00°, β = 107.10°, γ = 90.00°
Fractional positions:
Pm 0.242 0.000 0.223
Pm 0.252 0.500 0.764
Pm 0.748 0.500 0.236
Pm 0.758 0.000 0.777
Ru 0.500 0.000 0.000
S 0.000 0.000 0.500
S 0.000 0.500 0.000
Cl 0.500 0.500 0.500

=====

# 20
DFT (PBE) results for an optimized crystal structure of Pr4Nd5Tm4.

Output
total magnetization: 0.0000 μB/atom
energy of formation: 0.02 eV/atom
energy: -4.66 eV/atom

a = 9.623 Å, b = 9.623 Å, c = 9.623 Å
α = 94.07°, β = 94.07°, γ = 149.11°
Fractional positions:
Pr 0.077 0.618 0.695
Pr 0.382 0.077 0.459
Pr 0.618 0.923 0.541
Pr 0.923 0.382 0.305
Nd 0.000 0.000 0.000
Nd 0.309 0.459 0.768
Nd 0.459 0.691 0.150
Nd 0.541 0.309 0.850
Nd 0.691 0.541 0.232
Tm 0.154 0.232 0.386
Tm 0.232 0.846 0.077
Tm 0.768 0.154 0.923
Tm 0.846 0.768 0.614